# 1
Material: FeTc2MoCl
Method: DFT, GGA-PBE
State: relaxed

a b c (Å): 4.4543 4.2017 4.4543
angles (deg): 90.00 90.00 90.00
Fractional positions:
1 Fe 0.0000 0.0000 0.0000
2 Tc 0.5000 0.0000 0.0000
3 Tc 0.0000 0.0000 0.5000
4 Cl 0.0000 0.5000 0.0000
5 Mo 0.5000 0.5000 0.5000

DFT total energy   -0.2483 hartree per atom
Mass density   7.6 g/cm3
Energy relative to the elements, uncorrected   1619 meV/atom
Magnetization   0.00 μB/cell

# 2
Material: Ti2FeMoCl
Method: DFT, GGA-PBE
State: relaxed

a b c (Å): 4.6487 4.4121 4.6487
angles (deg): 90.00 90.00 90.00
Last column: magnetic moment on the atom in μB.
Fractional positions:
1 Mo 0.0000 0.5000 0.0000  0.47
2 Fe 0.0000 0.0000 0.0000  0.11
3 Ti 0.5000 0.0000 0.0000  -0.54
4 Ti 0.0000 0.0000 0.5000  -0.37
5 Cl 0.5000 0.5000 0.5000  -0.02

DFT total energy   -0.2467 hartree per atom
Mass density   4.9 g/cm3
Energy relative to the elements, uncorrected   674 meV/atom
Magnetization   0.53 μB/cell

# 3
Material: FeN2Cl4
Method: DFT, GGA-PBE
State: relaxed

a b c (Å): 4.7711 4.7711 11.8070
angles (deg): 78.34 78.34 60.00
Last column: magnetic moment on the atom in μB.
Fractional positions:
1 Cl 0.9378 0.9378 0.1865  0.22
2 Cl 0.6667 0.6667 0.0000  -0.02
3 Cl 0.0622 0.0622 0.8135  0.22
4 Cl 0.3333 0.3333 0.0000  -0.02
5 N 0.7955 0.7955 0.6136  1.94
6 N 0.2045 0.2045 0.3864  1.94
7 Fe 0.0000 0.0000 0.0000  3.39

DFT total energy   -0.1231 hartree per atom
Mass density   1.7 g/cm3
Energy relative to the elements, uncorrected   1292 meV/atom
Magnetization   9.99 μB/cell

# 4
Material: FeN3Cl
Method: DFT, GGA-PBE
State: relaxed

a b c (Å): 3.6935 3.6935 3.6935
angles (deg): 90.00 90.00 90.00
Fractional positions:
1 Fe 0.0000 0.0000 0.0000
2 N 0.0000 0.5000 0.0000
3 N 0.0000 0.0000 0.5000
4 N 0.5000 0.0000 0.0000
5 Cl 0.5000 0.5000 0.5000

DFT total energy   -0.1963 hartree per atom
Mass density   4.4 g/cm3
Energy relative to the elements, uncorrected   1715 meV/atom
Magnetization   0.00 μB/cell

# 5
Material: Fe3NCl
Method: DFT, GGA-PBE
State: relaxed

a b c (Å): 3.9505 3.9505 3.9505
angles (deg): 90.00 90.00 90.00
Last column: magnetic moment on the atom in μB.
Fractional positions:
1 N 0.0000 0.0000 0.0000  0.03
2 Fe 0.0000 0.5000 0.0000  2.64
3 Fe 0.5000 0.0000 0.0000  2.60
4 Fe 0.0000 0.0000 0.5000  2.47
5 Cl 0.5000 0.5000 0.5000  0.20

DFT total energy   -0.2491 hartree per atom
Mass density   5.8 g/cm3
Energy relative to the elements, uncorrected   334 meV/atom
Distance to the lowest polymorph of the same formula   0 meV per atom
Magnetization   7.99 μB/cell

# 6
Material: Fe2N2Cl7
Method: DFT, GGA-PBE
State: relaxed

a b c (Å): 8.1417 6.3067 8.1417
angles (deg): 86.62 105.71 86.62
Last column: magnetic moment on the atom in μB.
Fractional positions:
1 Cl 0.3243 0.7582 0.3243  0.21
2 Cl 0.6757 0.2418 0.6757  0.21
3 Cl 0.4328 0.3058 0.1484  0.21
4 Cl 0.8516 0.6942 0.5672  0.21
5 Cl 0.5672 0.6942 0.8516  0.21
6 Cl 0.0000 0.5000 0.0000  0.17
7 Cl 0.1484 0.3058 0.4328  0.21
8 N 0.1801 0.0000 0.8199  1.94
9 N 0.8199 0.0000 0.1801  1.94
10 Fe 0.2371 0.4619 0.2371  3.43
11 Fe 0.7629 0.5381 0.7629  3.43

DFT total energy   -0.1388 hartree per atom
Mass density   1.6 g/cm3
Energy relative to the elements, uncorrected   451 meV/atom
Magnetization   15.00 μB/cell

# 7
Material: Fe2NCl2
Method: DFT, GGA-PBE
State: relaxed

a b c (Å): 5.6344 5.6344 4.5260
angles (deg): 90.00 90.00 90.00
Last column: magnetic moment on the atom in μB.
Fractional positions:
1 Cl 0.8126 0.3126 0.5000  0.15
2 Cl 0.1874 0.6874 0.5000  0.15
3 Cl 0.3126 0.1874 0.5000  0.15
4 Cl 0.6874 0.8126 0.5000  0.15
5 Fe 0.7779 0.2779 0.0000  2.61
6 Fe 0.7221 0.7779 0.0000  2.61
7 Fe 0.2221 0.7221 0.0000  2.61
8 Fe 0.2779 0.2221 0.0000  2.61
9 N 0.0000 0.0000 0.0000  -0.11
10 N 0.5000 0.5000 0.0000  -0.11

DFT total energy   -0.2036 hartree per atom
Mass density   4.5 g/cm3
Energy relative to the elements, uncorrected   250 meV/atom
Magnetization   10.99 μB/cell

# 8
Material: FeN3Cl
Method: DFT, GGA-PBE
State: relaxed

a b c (Å): 3.5976 3.5976 3.5976
angles (deg): 90.00 90.00 90.00
Fractional positions:
1 N 0.0000 0.5000 0.0000
2 N 0.5000 0.0000 0.0000
3 N 0.0000 0.0000 0.5000
4 Cl 0.0000 0.0000 0.0000
5 Fe 0.5000 0.5000 0.5000

DFT total energy   -0.1499 hartree per atom
Mass density   4.8 g/cm3
Energy relative to the elements, uncorrected   2977 meV/atom
Magnetization   0.00 μB/cell

# 9
Material: FeNCl
Method: DFT, GGA-PBE
State: relaxed

a b c (Å): 3.0638 6.4374 6.4481
angles (deg): 71.15 90.37 89.45
Last column: magnetic moment on the atom in μB.
Fractional positions:
1 Cl 0.5081 0.2561 0.7332  0.06
2 Cl 0.4919 0.7439 0.2668  0.06
3 Fe 0.5007 0.3794 0.3689  0.91
4 Fe 0.4993 0.6206 0.6311  0.91
5 N 0.0011 0.3116 0.2955  -0.09
6 N 0.9989 0.6884 0.7045  -0.09

DFT total energy   -0.2238 hartree per atom
Mass density   2.9 g/cm3
Energy relative to the elements, uncorrected   121 meV/atom
Magnetization   1.80 μB/cell

# 10
Material: Fe2NCl2
Method: DFT, GGA-PBE
State: relaxed

a b c (Å): 3.8822 3.8822 5.4272
angles (deg): 69.04 69.04 90.00
Fractional positions:
1 Cl 0.7500 0.2500 0.5000
2 Cl 0.2500 0.7500 0.5000
3 Fe 0.3890 0.3890 0.2220
4 Fe 0.6110 0.6110 0.7780
5 N 0.0000 0.0000 0.0000

DFT total energy   -0.1553 hartree per atom
Mass density   4.6 g/cm3
Energy relative to the elements, uncorrected   1564 meV/atom
Magnetization   0.00 μB/cell

# 11
Material: NbFeN2Cl
Method: DFT, GGA-PBE
State: relaxed

a b c (Å): 3.7263 4.3647 3.7263
angles (deg): 90.00 90.00 90.00
Last column: magnetic moment on the atom in μB.
Fractional positions:
1 Nb 0.5000 0.5000 0.5000  1.35
2 N 0.0000 0.0000 0.5000  -0.17
3 N 0.5000 0.0000 0.0000  -0.14
4 Fe 0.0000 0.0000 0.0000  0.91
5 Cl 0.0000 0.5000 0.0000  -0.01

DFT total energy   -0.2399 hartree per atom
Mass density   5.8 g/cm3
Energy relative to the elements, uncorrected   878 meV/atom
Magnetization   2.06 μB/cell

# 12
Material: NbFeNCl2
Method: DFT, GGA-PBE
State: relaxed

a b c (Å): 4.2527 4.9564 4.2527
angles (deg): 90.00 90.00 90.00
Last column: magnetic moment on the atom in μB.
Fractional positions:
1 Cl 0.0000 0.0000 0.5000  0.01
2 Cl 0.5000 0.0000 0.0000  0.05
3 Nb 0.0000 0.5000 0.0000  0.08
4 N 0.5000 0.5000 0.5000  -0.83
5 Fe 0.0000 0.0000 0.0000  1.65

DFT total energy   -0.1793 hartree per atom
Mass density   4.3 g/cm3
Energy relative to the elements, uncorrected   1230 meV/atom
Magnetization   0.66 μB/cell